No. 1
GGA-PBE K2AcNpO6, optimized geometry; ΔE_f (raw) = -2.64 eV/atom; E = -7.53 eV per atom
1.0
6.303 0.000 -0.026
0.000 6.315 0.000
0.017 0.000 8.921
K Ac Np O
4 2 2 12
direct
0.003 0.985 0.250
0.503 0.515 0.750
0.997 0.015 0.750
0.497 0.485 0.250
0.500 0.000 0.000
0.000 0.500 0.500
0.500 0.000 0.500
0.000 0.500 0.000
0.252 0.698 0.027
0.752 0.802 0.527
0.748 0.302 0.973
0.248 0.198 0.473
0.304 0.747 0.471
0.804 0.753 0.971
0.696 0.253 0.529
0.196 0.247 0.029
0.946 0.511 0.225
0.446 0.989 0.725
0.054 0.489 0.775
0.554 0.011 0.275

***

No. 2
GGA-PBE K3Ac3NpO8, optimized geometry; ΔE_f (raw) = -2.65 eV/atom; E = -7.20 eV per atom
1.0
7.586 0.000 0.000
-3.793 6.570 -0.023
0.000 -4.356 6.364
K Ac Np O
3 3 1 8
direct
0.000 0.000 0.000
0.000 0.500 0.000
0.500 0.500 0.000
0.500 0.000 0.500
0.500 0.500 0.500
0.000 0.500 0.500
0.000 0.000 0.500
0.269 0.538 0.306
0.731 0.462 0.694
0.790 0.581 0.323
0.210 0.419 0.677
0.791 0.033 0.323
0.209 0.967 0.677
0.242 0.033 0.323
0.758 0.967 0.677

***

Question: Which value of ΔE_f (raw) does entry 1 give?
Answer: -2.64 eV/atom